[1]
First-principles (PBE-GGA) data for a relaxed B2C3 crystal, as listed in Alexandria via LeMat-Bulk.

Output
total magnetic moment	0.000	μB per formula unit
distance to the lowest polymorph of the same formula	0.123	eV per atom
density	2.6	Mg/m³

a = 12.449 Å, b = 12.449 Å, c = 12.449 Å
α = 12.20°, β = 12.20°, γ = 12.20°
Sites, in units of the cell vectors:
B: 0.000 0.000 0.000
B: 0.098 0.098 0.098
B: 0.267 0.267 0.267
B: 0.873 0.873 0.873
C: 0.225 0.225 0.225
C: 0.437 0.437 0.437
C: 0.482 0.482 0.482
C: 0.620 0.620 0.620
C: 0.661 0.661 0.661
C: 0.829 0.829 0.829



[2]
First-principles (PBE-GGA) data for a relaxed SbH2IrW crystal, as listed in Alexandria via LeMat-Bulk.

Output
total magnetic moment	2.137	μB per formula unit
density	11.2	Mg/m³
E_tot	-27.457	eV/cell

a = 3.743 Å, b = 3.743 Å, c = 5.274 Å
α = 90.00°, β = 90.00°, γ = 90.00°
Sites, in units of the cell vectors:
Sb: 0.000 0.000 0.000
H: 0.000 0.500 0.500
H: 0.500 0.000 0.500
Ir: 0.000 0.000 0.500
W: 0.500 0.500 0.000



[3]
First-principles (PBE-GGA) data for a relaxed Li2AlZn6 crystal, as listed in Alexandria via LeMat-Bulk.

Output
total magnetic moment	0.000	μB per formula unit
distance to the lowest polymorph of the same formula	0.000	eV per atom
density	5.2	Mg/m³

a = 7.844 Å, b = 7.844 Å, c = 4.669 Å
α = 97.42°, β = 97.42°, γ = 78.11°
Sites, in units of the cell vectors:
Li: 0.029 0.304 0.086
Li: 0.304 0.029 0.586
Li: 0.696 0.971 0.414
Li: 0.971 0.696 0.914
Al: 0.346 0.654 0.750
Al: 0.654 0.346 0.250
Zn: 0.052 0.828 0.469
Zn: 0.161 0.392 0.641
Zn: 0.172 0.948 0.031
Zn: 0.268 0.511 0.196
Zn: 0.392 0.161 0.141
Zn: 0.489 0.732 0.304
Zn: 0.511 0.268 0.696
Zn: 0.608 0.839 0.859
Zn: 0.732 0.489 0.804
Zn: 0.828 0.052 0.969
Zn: 0.839 0.608 0.359
Zn: 0.948 0.172 0.531



[4]
First-principles (PBE-GGA) data for a relaxed Re5C3 crystal, as listed in Alexandria via LeMat-Bulk.

Output
total magnetic moment	0.000	μB per formula unit
distance to the lowest polymorph of the same formula	0.114	eV per atom
density	18.0	Mg/m³

a = 2.724 Å, b = 2.724 Å, c = 12.040 Å
α = 90.00°, β = 90.00°, γ = 90.00°
Sites, in units of the cell vectors:
Re: 0.000 0.000 0.000
Re: 0.000 0.000 0.222
Re: 0.000 0.000 0.778
Re: 0.500 0.500 0.390
Re: 0.500 0.500 0.610
C: 0.000 0.000 0.500
C: 0.500 0.500 0.116
C: 0.500 0.500 0.884



[5]
First-principles (PBE-GGA) data for a relaxed CoRuPb2 crystal, as listed in Alexandria via LeMat-Bulk.

Output
total magnetic moment	0.001	μB per formula unit
distance to the lowest polymorph of the same formula	0.258	eV per atom
density	12.6	Mg/m³

a = 3.321 Å, b = 3.321 Å, c = 23.809 Å
α = 90.00°, β = 90.00°, γ = 120.00°
Sites, in units of the cell vectors:
Co: 0.000 0.000 0.000
Co: 0.333 0.667 0.667
Co: 0.667 0.333 0.333
Ru: 0.000 0.000 0.500
Ru: 0.333 0.667 0.167
Ru: 0.667 0.333 0.833
Pb: 0.000 0.000 0.253
Pb: 0.000 0.000 0.747
Pb: 0.333 0.667 0.414
Pb: 0.333 0.667 0.919
Pb: 0.667 0.333 0.081
Pb: 0.667 0.333 0.586



[6]
First-principles (PBE-GGA) data for a relaxed MgPSe2 crystal, as listed in Alexandria via LeMat-Bulk.

Output
total magnetic moment	0.000	μB per formula unit
distance to the lowest polymorph of the same formula	0.098	eV per atom
uncorrected formation energy	-0.317	eV/atom
density	4.4	Mg/m³

a = 5.491 Å, b = 5.491 Å, c = 5.372 Å
α = 90.00°, β = 90.00°, γ = 90.00°
Sites, in units of the cell vectors:
Mg: 0.000 0.000 0.000
Mg: 0.500 0.500 0.500
P: 0.000 0.000 0.500
P: 0.500 0.500 0.000
Se: 0.000 0.500 0.000
Se: 0.000 0.500 0.500
Se: 0.500 0.000 0.000
Se: 0.500 0.000 0.500



[7]
First-principles (PBE-GGA) data for a relaxed Ti2Pd4Pt5 crystal, as listed in Alexandria via LeMat-Bulk.

Output
total magnetic moment	0.000	μB per formula unit
density	13.6	Mg/m³
E_tot	-70.434	eV/cell

a = 6.961 Å, b = 6.961 Å, c = 6.961 Å
α = 143.21°, β = 112.27°, γ = 79.64°
Sites, in units of the cell vectors:
Ti: 0.144 0.144 0.000
Ti: 0.856 0.856 0.000
Pd: 0.283 0.000 0.283
Pd: 0.375 0.375 0.000
Pd: 0.625 0.625 0.000
Pd: 0.717 0.000 0.717
Pt: 0.000 0.500 0.500
Pt: 0.082 0.746 0.336
Pt: 0.410 0.746 0.664
Pt: 0.590 0.254 0.336
Pt: 0.918 0.254 0.664



[8]
First-principles (PBE-GGA) data for a relaxed MnBeRh crystal, as listed in Alexandria via LeMat-Bulk.

Output
total magnetic moment	0.486	μB per formula unit
distance to the lowest polymorph of the same formula	0.000	eV per atom
density	8.2	Mg/m³

a = 2.853 Å, b = 2.853 Å, c = 8.324 Å
α = 90.00°, β = 90.00°, γ = 90.00°
Sites, in units of the cell vectors:
Mn: 0.000 0.000 0.000
Mn: 0.500 0.500 0.157
Be: 0.000 0.000 0.322
Be: 0.000 0.000 0.636
Rh: 0.500 0.500 0.468
Rh: 0.500 0.500 0.802



> total magnetic moment of number 2 (SbH2IrW)?

2.137 μB per formula unit



Copy entry 5 word for word.
First-principles (PBE-GGA) data for a relaxed CoRuPb2 crystal, as listed in Alexandria via LeMat-Bulk.

Output
total magnetic moment	0.001	μB per formula unit
distance to the lowest polymorph of the same formula	0.258	eV per atom
density	12.6	Mg/m³

a = 3.321 Å, b = 3.321 Å, c = 23.809 Å
α = 90.00°, β = 90.00°, γ = 120.00°
Sites, in units of the cell vectors:
Co: 0.000 0.000 0.000
Co: 0.333 0.667 0.667
Co: 0.667 0.333 0.333
Ru: 0.000 0.000 0.500
Ru: 0.333 0.667 0.167
Ru: 0.667 0.333 0.833
Pb: 0.000 0.000 0.253
Pb: 0.000 0.000 0.747
Pb: 0.333 0.667 0.414
Pb: 0.333 0.667 0.919
Pb: 0.667 0.333 0.081
Pb: 0.667 0.333 0.586



> What is the density in the fifth record?

12.6 Mg/m³



> The lowest density belongs to which entry?

B2C3